Record 1
# SrLi7Mg5

An optimized crystal structure of SrLi7Mg5 (GGA-PBE, Alexandria).

Cell and atoms, written as POSCAR:
```
SrLi7Mg5
1.0
5.555 0.000 2.281
2.806 7.240 1.071
0.027 -0.052 7.838
Sr Li Mg
1 7 5
Direct
0.000 0.000 0.000 Sr
0.643 0.357 0.357 Li
0.354 0.646 0.646 Li
0.000 0.358 0.643 Li
0.000 0.643 0.358 Li
0.281 0.219 0.219 Li
0.502 0.778 0.219 Li
0.502 0.219 0.778 Li
0.500 0.003 0.496 Mg
0.001 0.003 0.496 Mg
0.500 0.496 0.003 Mg
0.001 0.496 0.003 Mg
0.718 0.782 0.782 Mg
```

Properties
- Calculated total energy: -23.34 eV for the cell shown
- SG: Imm2, No. 44
- Energy of formation from the pure elements: -2 kJ/mol of atoms
- Crystal system: orthorhombic


Record 2
# BeTeIrW2

An optimized crystal structure of BeTeIrW2 (GGA-PBE, Alexandria).

Cell and atoms, written as POSCAR:
```
BeTeIrW2
1.0
4.797 0.000 0.000
0.000 5.296 0.000
0.000 0.000 4.797
Be Ir Te W
1 1 1 2
Direct
0.500 0.500 0.500 Be
0.000 0.000 0.000 Ir
0.000 0.500 0.000 Te
0.000 0.000 0.500 W
0.500 0.000 0.000 W
```

Properties
- Calculated total energy: -30.96 eV for the cell shown
- SG: P4/mmm, No. 123
- Energy relative to the elements, uncorrected: 2.136 eV/atom
- Crystal system: tetragonal